No. 1
First-principles (PBEsol) data for crystalline Co3P4PbO14 at its relaxed geometry, as listed in Alexandria via LeMat-Bulk.

Cell: 7.456 7.685 9.472 Å, 90.00 112.06 90.00°
Fractional coordinates of all 44 atoms:
Co: 0.000 0.000 0.000
Co: 0.000 0.500 0.500
Co: 0.182 0.128 0.526
Co: 0.182 0.372 0.026
Co: 0.818 0.628 0.974
Co: 0.818 0.872 0.474
P: 0.109 0.704 0.807
P: 0.109 0.796 0.307
P: 0.398 0.057 0.301
P: 0.398 0.443 0.801
P: 0.602 0.557 0.199
P: 0.602 0.943 0.699
P: 0.891 0.204 0.693
P: 0.891 0.296 0.193
Pb: 0.500 0.000 0.000
Pb: 0.500 0.500 0.500
O: 0.002 0.211 0.867
O: 0.002 0.289 0.367
O: 0.025 0.576 0.889
O: 0.025 0.924 0.389
O: 0.151 0.621 0.388
O: 0.151 0.879 0.888
O: 0.272 0.116 0.136
O: 0.272 0.384 0.636
O: 0.317 0.632 0.823
O: 0.317 0.868 0.323
O: 0.375 0.178 0.419
O: 0.375 0.322 0.919
O: 0.396 0.517 0.187
O: 0.396 0.983 0.687
O: 0.604 0.017 0.313
O: 0.604 0.483 0.813
O: 0.625 0.678 0.081
O: 0.625 0.822 0.581
O: 0.683 0.132 0.677
O: 0.683 0.368 0.177
O: 0.728 0.616 0.364
O: 0.728 0.884 0.864
O: 0.849 0.121 0.112
O: 0.849 0.379 0.612
O: 0.975 0.076 0.611
O: 0.975 0.424 0.111
O: 0.998 0.711 0.633
O: 0.998 0.789 0.133

Results
Calculated density   4.8 Mg/m³
E   -323.5 eV per cell
Total magnetization   9.000 μB/f.u.
Density of states at the Fermi level   0.76 states/eV/atom

---

No. 2
First-principles (PBEsol) data for crystalline CoP2PdO at its relaxed geometry, as listed in Alexandria via LeMat-Bulk.

Cell: 4.663 4.663 3.665 Å, 90.00 90.00 90.00°
Fractional coordinates of all 5 atoms:
Co: 0.000 0.000 0.000
P: 0.000 0.500 0.500
P: 0.500 0.000 0.500
Pd: 0.500 0.500 0.500
O: 0.500 0.500 0.000

Results
Calculated density   5.1 Mg/m³
Relative energy among the computed polymorphs   84.4 kJ/mol of atoms
E   -26.1 eV per cell
Total magnetization   2.377 μB/f.u.
Density of states at the Fermi level   1.70 states/eV/atom

---

No. 3
First-principles (PBEsol) data for crystalline CoP2PdO at its relaxed geometry, as listed in Alexandria via LeMat-Bulk.

Cell: 4.530 4.530 3.288 Å, 90.00 90.00 90.00°
Fractional coordinates of all 5 atoms:
Co: 0.000 0.000 0.000
P: 0.000 0.500 0.000
P: 0.500 0.000 0.000
Pd: 0.500 0.500 0.500
O: 0.000 0.000 0.500

Results
Calculated density   6.0 Mg/m³
Relative energy among the computed polymorphs   0.0 kJ/mol of atoms
E   -30.5 eV per cell
Total magnetization   0.006 μB/f.u.
Density of states at the Fermi level   0.68 states/eV/atom

---

No. 4
First-principles (PBEsol) data for crystalline CoSb3P6O24 at its relaxed geometry, as listed in Alexandria via LeMat-Bulk.

Cell: 8.773 8.773 8.773 Å, 55.87 55.87 55.87°
Fractional coordinates of all 34 atoms:
Co: 0.000 0.000 0.000
Sb: 0.300 0.300 0.300
Sb: 0.508 0.508 0.508
Sb: 0.792 0.792 0.792
P: 0.111 0.698 0.387
P: 0.186 0.627 0.899
P: 0.387 0.111 0.698
P: 0.627 0.899 0.186
P: 0.698 0.387 0.111
P: 0.899 0.186 0.627
O: 0.037 0.636 0.848
O: 0.113 0.160 0.474
O: 0.127 0.488 0.439
O: 0.141 0.832 0.175
O: 0.160 0.474 0.113
O: 0.168 0.826 0.863
O: 0.175 0.141 0.832
O: 0.268 0.672 0.441
O: 0.395 0.535 0.763
O: 0.439 0.127 0.488
O: 0.441 0.268 0.672
O: 0.474 0.113 0.160
O: 0.488 0.439 0.127
O: 0.531 0.905 0.780
O: 0.535 0.763 0.395
O: 0.636 0.848 0.037
O: 0.672 0.441 0.268
O: 0.763 0.395 0.535
O: 0.780 0.531 0.905
O: 0.826 0.863 0.168
O: 0.832 0.175 0.141
O: 0.848 0.037 0.636
O: 0.863 0.168 0.826
O: 0.905 0.780 0.531

Results
Calculated density   3.8 Mg/m³
E   -244.5 eV per cell
Total magnetization   0.167 μB/f.u.

---

Computed values of E_form (uncorrected) (unit: meV per atom) for the preceding records, in sequence: -1722, 880, 5, -1833.